1.
This record from the Alexandria database describes ReAsPt after structural relaxation. The functional is PBE-GGA.

The calculation puts the excess energy over the best structure of this formula in the dataset at 0 meV/atom. As for the magnetization: 0.00 μB per formula unit. For the formation enthalpy at 0 K, the calculation gives 0.11 eV per atom. The calculation puts the volume at 15.9 Å³ per atom. The calculation puts the total energy at -91.22 eV/cell. The calculation puts the density at 15.91 g cm⁻³.

The space group is Amm2 (No. 38) and the conventional cell measures 12.661, 2.944 and 5.109 Å, with angles of 90.00, 90.00 and 90.00 degrees. The inequivalent atoms are Re at (0.000, 0.000, 0.000), Re at (0.500, 0.000, 0.012), As at (0.349, 0.000, 0.679) and Pt at (0.165, 0.000, 0.334).

---

2.
This record from the Alexandria database describes ReAsPt after structural relaxation. The functional is PBE-GGA.

The calculation puts the excess energy over the best structure of this formula in the dataset at 145 meV/atom. As for the magnetization: 0.00 μB per formula unit. For the formation enthalpy at 0 K, the calculation gives 0.26 eV per atom. The calculation puts the volume at 18.2 Å³ per atom. The calculation puts the total energy at -89.48 eV/cell. The calculation puts the density at 13.91 g cm⁻³.

The space group is F-43m (No. 216) and the conventional cell measures 6.017, 6.017 and 6.017 Å, with angles of 90.00, 90.00 and 90.00 degrees. The inequivalent atoms are Re at (0.000, 0.000, 0.000), As at (0.250, 0.250, 0.250) and Pt at (0.250, 0.250, 0.750).

---

3.
This record from the Alexandria database describes ReAs3Pt after structural relaxation. The functional is PBE-GGA.

The calculation puts the excess energy over the best structure of this formula in the dataset at 0 meV/atom. As for the magnetization: 0.00 μB per formula unit. For the formation enthalpy at 0 K, the calculation gives 0.80 eV per atom. The calculation puts the volume at 21.7 Å³ per atom. The calculation puts the total energy at -28.46 eV/cell. The calculation puts the density at 9.28 g cm⁻³.

The space group is Pm-3m (No. 221) and the conventional cell measures 4.768, 4.768 and 4.768 Å, with angles of 90.00, 90.00 and 90.00 degrees. The inequivalent atoms are Re at (0.000, 0.000, 0.000), As at (0.000, 0.000, 0.500) and Pt at (0.500, 0.500, 0.500).

---

4.
This record from the Alexandria database describes ReAsPt after structural relaxation. The functional is PBE-GGA.

The calculation puts the excess energy over the best structure of this formula in the dataset at 41 meV/atom. As for the magnetization: 0.00 μB per formula unit. For the formation enthalpy at 0 K, the calculation gives 0.15 eV per atom. The calculation puts the volume at 15.7 Å³ per atom. The calculation puts the total energy at -22.68 eV/cell. The calculation puts the density at 16.07 g cm⁻³.

The space group is P3m1 (No. 156) and the conventional cell measures 2.9382, 2.9382 and 6.3054 Å, with angles of 90.00, 90.00 and 120.00 degrees. The inequivalent atoms are Re at (0.0000, 0.0000, 0.0000), As at (0.6667, 0.3333, 0.3018) and Pt at (0.3333, 0.6667, 0.6546).

---

5.
This record from the Alexandria database describes ReAs2PtSe after structural relaxation. The functional is PBE-GGA.

The calculation puts the excess energy over the best structure of this formula in the dataset at 0 meV/atom. As for the magnetization: 0.00 μB per formula unit. The calculation puts the volume at 22.0 Å³ per atom. As for the energy relative to the elements, uncorrected: 423 kJ/mol of formula units. The calculation puts the total energy at -26.89 eV/cell. The calculation puts the density at 9.22 g cm⁻³.

The space group is P4/mmm (No. 123) and the conventional cell measures 4.844, 4.844 and 4.681 Å, with angles of 90.00, 90.00 and 90.00 degrees. The inequivalent atoms are Re at (0.000, 0.000, 0.000), As at (0.000, 0.500, 0.000), Pt at (0.500, 0.500, 0.500) and Se at (0.000, 0.000, 0.500).

---

6.
This record from the Alexandria database describes ReAsPtSe2 after structural relaxation. The functional is PBE-GGA.

The calculation puts the excess energy over the best structure of this formula in the dataset at 0 meV/atom. As for the magnetization: 0.00 μB per formula unit. The calculation puts the volume at 22.2 Å³ per atom. As for the energy relative to the elements, uncorrected: 447 kJ/mol of formula units. The calculation puts the total energy at -25.47 eV/cell. The calculation puts the density at 9.17 g cm⁻³.

The space group is P4/mmm (No. 123) and the conventional cell measures 4.768, 4.768 and 4.890 Å, with angles of 90.00, 90.00 and 90.00 degrees. The inequivalent atoms are Re at (0.000, 0.000, 0.000), As at (0.000, 0.000, 0.500), Pt at (0.500, 0.500, 0.500) and Se at (0.000, 0.500, 0.000).

---

7.
This record from the Alexandria database describes ReSi2AsPt after structural relaxation. The functional is PBE-GGA.

As for the magnetization: 2.98 μB per formula unit. The calculation puts the volume at 21.3 Å³ per atom. As for the energy relative to the elements, uncorrected: 621 kJ/mol of formula units. The calculation puts the total energy at -27.55 eV/cell. The calculation puts the density at 7.97 g cm⁻³.

The space group is P4/mmm (No. 123) and the conventional cell measures 4.508, 4.508 and 5.252 Å, with angles of 90.00, 90.00 and 90.00 degrees. The inequivalent atoms are Re at (0.000, 0.000, 0.000), Si at (0.000, 0.500, 0.500), As at (0.500, 0.500, 0.000) and Pt at (0.500, 0.500, 0.500).

---

8.
This record from the Alexandria database describes TiReAsPt2 after structural relaxation. The functional is PBE-GGA.

As for the magnetization: 0.00 μB per formula unit. For the formation enthalpy at 0 K, the calculation gives 0.99 eV per atom. The calculation puts the volume at 21.9 Å³ per atom. The calculation puts the total energy at -32.12 eV/cell. The calculation puts the density at 10.58 g cm⁻³.

The space group is P4/mmm (No. 123) and the conventional cell measures 4.883, 4.883 and 4.603 Å, with angles of 90.00, 90.00 and 90.00 degrees. The inequivalent atoms are Ti at (0.000, 0.000, 0.000), Re at (0.000, 0.000, 0.500), As at (0.500, 0.500, 0.000) and Pt at (0.000, 0.500, 0.500).

---

9.
This record from the Alexandria database describes As4PtRh after structural relaxation. The functional is PBE-GGA.

The calculation puts the excess energy over the best structure of this formula in the dataset at 0 meV/atom. As for the magnetization: 0.00 μB per formula unit. For the formation enthalpy at 0 K, the calculation gives -0.45 eV per atom. The calculation puts the volume at 18.3 Å³ per atom. The calculation puts the total energy at -69.38 eV/cell. The calculation puts the density at 9.04 g cm⁻³.

The space group is P2_1/c (No. 14) and the conventional cell measures 6.031, 6.043 and 6.025 Å, with angles of 90.00, 91.57 and 90.00 degrees. The inequivalent atoms are As at (0.112, 0.122, 0.384), As at (0.377, 0.614, 0.382), Pt at (0.500, 0.000, 0.500) and Rh at (0.000, 0.000, 0.000).

---

10.
This record from the Alexandria database describes As4PtRh after structural relaxation. The functional is PBE-GGA.

The calculation puts the excess energy over the best structure of this formula in the dataset at 1098 meV/atom. As for the magnetization: 0.00 μB per formula unit. For the formation enthalpy at 0 K, the calculation gives 0.65 eV per atom. The calculation puts the volume at 18.1 Å³ per atom. The calculation puts the total energy at -112.41 eV/cell. The calculation puts the density at 9.14 g cm⁻³.

The space group is F-43m (No. 216) and the conventional cell measures 7.574, 7.574 and 7.574 Å, with angles of 90.00, 90.00 and 90.00 degrees. The inequivalent atoms are As at (0.125, 0.125, 0.125), Pt at (0.000, 0.000, 0.500) and Rh at (0.250, 0.250, 0.750).

---

11.
This record from the Alexandria database describes As2PtRh2 after structural relaxation. The functional is PBE-GGA.

The calculation puts the excess energy over the best structure of this formula in the dataset at 0 meV/atom. As for the magnetization: 0.00 μB per formula unit. For the formation enthalpy at 0 K, the calculation gives -0.17 eV per atom. The calculation puts the volume at 15.4 Å³ per atom. The calculation puts the total energy at -61.84 eV/cell. The calculation puts the density at 11.84 g cm⁻³.

The space group is P4/mbm (No. 127) and the conventional cell measures 7.182, 7.182 and 2.994 Å, with angles of 90.00, 90.00 and 90.00 degrees. The inequivalent atoms are As at (0.154, 0.346, 0.000), Pt at (0.000, 0.000, 0.000) and Rh at (0.141, 0.641, 0.500).

---

12.
This record from the Alexandria database describes AsPtRh3 after structural relaxation. The functional is PBE-GGA.

The calculation puts the excess energy over the best structure of this formula in the dataset at 0 meV/atom. As for the magnetization: 0.07 μB per formula unit. For the formation enthalpy at 0 K, the calculation gives 0.66 eV per atom. The calculation puts the volume at 18.1 Å³ per atom. The calculation puts the total energy at -29.43 eV/cell. The calculation puts the density at 10.59 g cm⁻³.

The space group is Pm-3m (No. 221) and the conventional cell measures 4.494, 4.494 and 4.494 Å, with angles of 90.00, 90.00 and 90.00 degrees. The inequivalent atoms are As at (0.000, 0.000, 0.000), Pt at (0.500, 0.500, 0.500) and Rh at (0.000, 0.000, 0.500).

---

13.
This record from the Alexandria database describes As3PtRh after structural relaxation. The functional is PBE-GGA.

The calculation puts the excess energy over the best structure of this formula in the dataset at 0 meV/atom. As for the magnetization: 0.00 μB per formula unit. For the formation enthalpy at 0 K, the calculation gives 0.63 eV per atom. The calculation puts the volume at 21.1 Å³ per atom. The calculation puts the total energy at -24.18 eV/cell. The calculation puts the density at 8.23 g cm⁻³.

The space group is Pm-3m (No. 221) and the conventional cell measures 4.725, 4.725 and 4.725 Å, with angles of 90.00, 90.00 and 90.00 degrees. The inequivalent atoms are As at (0.000, 0.000, 0.500), Pt at (0.500, 0.500, 0.500) and Rh at (0.000, 0.000, 0.000).

---

14.
This record from the Alexandria database describes AsPtRh3 after structural relaxation. The functional is PBE-GGA.

The calculation puts the excess energy over the best structure of this formula in the dataset at 785 meV/atom. As for the magnetization: 2.82 μB per formula unit. For the formation enthalpy at 0 K, the calculation gives 1.45 eV per atom. The calculation puts the volume at 21.8 Å³ per atom. The calculation puts the total energy at -25.50 eV/cell. The calculation puts the density at 8.82 g cm⁻³.

The space group is Pm-3m (No. 221) and the conventional cell measures 4.777, 4.777 and 4.777 Å, with angles of 90.00, 90.00 and 90.00 degrees. The inequivalent atoms are As at (0.000, 0.000, 0.000), Pt at (0.500, 0.500, 0.500) and Rh at (0.000, 0.500, 0.500).